Compound: CuP4O11
Source: Alexandria via LeMat-Bulk
Functional: PBE
Structure: relaxed

Unit cell a=9.403 b=9.457 c=10.777 alpha=69.30 beta=70.22 gamma=89.46
Atoms (fractional coordinates):
Cu 0.230 0.271 0.498
Cu 0.254 0.773 0.985
Cu 0.746 0.227 0.015
Cu 0.770 0.729 0.502
P 0.094 0.234 0.097
P 0.095 0.900 0.240
P 0.098 0.448 0.249
P 0.233 0.586 0.614
P 0.258 0.918 0.433
P 0.409 0.097 0.717
P 0.418 0.242 0.926
P 0.444 0.585 0.775
P 0.556 0.415 0.225
P 0.582 0.758 0.074
P 0.591 0.903 0.283
P 0.742 0.082 0.567
P 0.767 0.414 0.386
P 0.902 0.552 0.751
P 0.905 0.100 0.760
P 0.906 0.766 0.903
O 0.039 0.732 0.943
O 0.056 0.196 0.682
O 0.077 0.533 0.747
O 0.079 0.077 0.223
O 0.087 0.351 0.396
O 0.155 0.352 0.146
O 0.181 0.036 0.478
O 0.190 0.905 0.095
O 0.192 0.600 0.172
O 0.198 0.856 0.339
O 0.238 0.238 0.963
O 0.249 0.528 0.501
O 0.249 0.768 0.567
O 0.294 0.961 0.814
O 0.333 0.635 0.882
O 0.357 0.538 0.684
O 0.376 0.217 0.600
O 0.407 0.320 0.319
O 0.435 0.968 0.349
O 0.468 0.161 0.044
O 0.469 0.184 0.799
O 0.482 0.417 0.855
O 0.518 0.583 0.145
O 0.531 0.816 0.201
O 0.532 0.839 0.956
O 0.565 0.032 0.651
O 0.593 0.680 0.681
O 0.624 0.783 0.400
O 0.643 0.462 0.316
O 0.667 0.365 0.118
O 0.706 0.039 0.186
O 0.751 0.232 0.433
O 0.751 0.472 0.499
O 0.762 0.762 0.037
O 0.802 0.144 0.661
O 0.808 0.400 0.828
O 0.810 0.095 0.905
O 0.819 0.964 0.522
O 0.845 0.648 0.854
O 0.913 0.649 0.604
O 0.921 0.923 0.777
O 0.923 0.467 0.253
O 0.944 0.804 0.318
O 0.961 0.268 0.057

Total moment   4.00 Bohr magnetons per cell
Formation energy from raw total energies   -1.845 eV/atom


Compound: CuPO2
Source: Alexandria via LeMat-Bulk
Functional: PBE
Structure: relaxed

Unit cell a=4.254 b=4.254 c=10.661 alpha=90.00 beta=90.00 gamma=90.00
Atoms (fractional coordinates):
Cu 0.000 0.000 0.000
Cu 0.000 0.500 0.250
Cu 0.500 0.000 0.750
Cu 0.500 0.500 0.500
P 0.000 0.000 0.500
P 0.000 0.500 0.750
P 0.500 0.000 0.250
P 0.500 0.500 0.000
O 0.212 0.250 0.625
O 0.250 0.712 0.875
O 0.250 0.788 0.375
O 0.288 0.250 0.125
O 0.712 0.750 0.125
O 0.750 0.212 0.375
O 0.750 0.288 0.875
O 0.788 0.750 0.625

Total moment   0.00 Bohr magnetons per cell
Formation energy from raw total energies   -0.357 eV/atom


Compound: Cu2PO5
Source: Alexandria via LeMat-Bulk
Functional: PBE
Structure: relaxed

Unit cell a=5.213 b=5.213 c=8.984 alpha=90.00 beta=90.00 gamma=137.15
Atoms (fractional coordinates):
Cu 0.145 0.855 0.581
Cu 0.145 0.855 0.919
Cu 0.855 0.145 0.081
Cu 0.855 0.145 0.419
P 0.192 0.808 0.250
P 0.808 0.192 0.750
O 0.076 0.924 0.122
O 0.076 0.924 0.378
O 0.268 0.732 0.750
O 0.319 0.681 0.113
O 0.319 0.681 0.387
O 0.681 0.319 0.613
O 0.681 0.319 0.887
O 0.732 0.268 0.250
O 0.924 0.076 0.622
O 0.924 0.076 0.878

Total moment   0.00 Bohr magnetons per cell
Formation energy from raw total energies   -0.989 eV/atom
Polymorph energy (0 for the lowest one)   257 meV/atom


Compound: CuPO2
Source: Alexandria via LeMat-Bulk
Functional: PBE
Structure: relaxed

Unit cell a=2.966 b=2.966 c=17.258 alpha=90.00 beta=90.00 gamma=120.00
Atoms (fractional coordinates):
Cu 0.000 0.000 0.000
Cu 0.333 0.667 0.667
Cu 0.667 0.333 0.333
P 0.000 0.000 0.500
P 0.333 0.667 0.167
P 0.667 0.333 0.833
O 0.000 0.000 0.405
O 0.000 0.000 0.595
O 0.333 0.667 0.072
O 0.333 0.667 0.261
O 0.667 0.333 0.739
O 0.667 0.333 0.928

Total moment   0.00 Bohr magnetons per cell
Formation energy from raw total energies   -0.560 eV/atom


Compound: Cu3PO4
Source: Alexandria via LeMat-Bulk
Functional: PBE
Structure: relaxed

Unit cell a=6.378 b=5.521 c=5.186 alpha=90.00 beta=90.00 gamma=90.00
Atoms (fractional coordinates):
Cu 0.000 0.221 0.000
Cu 0.215 0.601 0.066
Cu 0.285 0.399 0.566
Cu 0.500 0.779 0.500
Cu 0.715 0.399 0.566
Cu 0.785 0.601 0.066
P 0.000 0.872 0.503
P 0.500 0.128 0.003
O 0.000 0.141 0.584
O 0.000 0.848 0.200
O 0.197 0.742 0.618
O 0.303 0.258 0.118
O 0.500 0.152 0.700
O 0.500 0.859 0.084
O 0.697 0.258 0.118
O 0.803 0.742 0.618

Total moment   0.00 Bohr magnetons per cell
Formation energy from raw total energies   -1.071 eV/atom


Compound: CuPO3
Source: Alexandria via LeMat-Bulk
Functional: PBE
Structure: relaxed

Unit cell a=10.393 b=4.740 c=13.510 alpha=90.00 beta=124.81 gamma=90.00
Atoms (fractional coordinates):
Cu 0.123 0.014 0.385
Cu 0.123 0.486 0.885
Cu 0.325 0.011 0.979
Cu 0.325 0.489 0.479
Cu 0.675 0.511 0.521
Cu 0.675 0.989 0.021
Cu 0.877 0.514 0.115
Cu 0.877 0.986 0.615
P 0.195 0.211 0.627
P 0.195 0.289 0.127
P 0.268 0.705 0.778
P 0.268 0.795 0.278
P 0.732 0.205 0.722
P 0.732 0.295 0.222
P 0.805 0.711 0.873
P 0.805 0.789 0.373
O 0.030 0.230 0.588
O 0.030 0.270 0.088
O 0.105 0.696 0.752
O 0.105 0.804 0.252
O 0.233 0.246 0.035
O 0.233 0.254 0.535
O 0.273 0.591 0.185
O 0.273 0.909 0.685
O 0.312 0.086 0.242
O 0.312 0.414 0.742
O 0.403 0.715 0.405
O 0.403 0.785 0.905
O 0.597 0.215 0.095
O 0.597 0.285 0.595
O 0.688 0.586 0.258
O 0.688 0.914 0.758
O 0.727 0.091 0.315
O 0.727 0.409 0.815
O 0.767 0.746 0.465
O 0.767 0.754 0.965
O 0.895 0.196 0.748
O 0.895 0.304 0.248
O 0.970 0.730 0.912
O 0.970 0.770 0.412

Total moment   0.00 Bohr magnetons per cell
Formation energy from raw total energies   -1.518 eV/atom


Compound: Cu4P2O9
Source: Alexandria via LeMat-Bulk
Functional: PBE
Structure: relaxed

Unit cell a=8.155 b=6.391 c=13.608 alpha=90.00 beta=90.00 gamma=90.00
Atoms (fractional coordinates):
Cu 0.062 0.250 0.089
Cu 0.144 0.750 0.449
Cu 0.149 0.008 0.658
Cu 0.149 0.492 0.658
Cu 0.351 0.508 0.158
Cu 0.351 0.992 0.158
Cu 0.356 0.250 0.949
Cu 0.438 0.750 0.589
Cu 0.562 0.250 0.411
Cu 0.644 0.750 0.051
Cu 0.649 0.008 0.842
Cu 0.649 0.492 0.842
Cu 0.851 0.508 0.342
Cu 0.851 0.992 0.342
Cu 0.856 0.250 0.551
Cu 0.938 0.750 0.911
P 0.002 0.750 0.156
P 0.149 0.250 0.414
P 0.351 0.750 0.914
P 0.498 0.250 0.656
P 0.502 0.750 0.344
P 0.649 0.250 0.086
P 0.851 0.750 0.586
P 0.998 0.250 0.844
O 0.084 0.047 0.362
O 0.084 0.453 0.362
O 0.091 0.250 0.523
O 0.099 0.250 0.745
O 0.111 0.551 0.151
O 0.111 0.949 0.151
O 0.120 0.250 0.931
O 0.166 0.750 0.906
O 0.203 0.750 0.595
O 0.297 0.250 0.095
O 0.334 0.250 0.406
O 0.380 0.750 0.431
O 0.389 0.051 0.651
O 0.389 0.449 0.651
O 0.401 0.750 0.245
O 0.409 0.750 0.023
O 0.416 0.547 0.862
O 0.416 0.953 0.862
O 0.584 0.047 0.138
O 0.584 0.453 0.138
O 0.591 0.250 0.977
O 0.599 0.250 0.755
O 0.611 0.551 0.349
O 0.611 0.949 0.349
O 0.620 0.250 0.569
O 0.666 0.750 0.594
O 0.703 0.750 0.905
O 0.797 0.250 0.405
O 0.834 0.250 0.094
O 0.880 0.750 0.069
O 0.889 0.051 0.849
O 0.889 0.449 0.849
O 0.901 0.750 0.255
O 0.909 0.750 0.477
O 0.916 0.547 0.638
O 0.916 0.953 0.638

Total moment   8.15 Bohr magnetons per cell
Formation energy from raw total energies   -1.316 eV/atom
Polymorph energy (0 for the lowest one)   0 meV/atom


Compound: CuPO5
Source: Alexandria via LeMat-Bulk
Functional: PBE
Structure: relaxed

Unit cell a=4.921 b=4.921 c=6.708 alpha=109.93 beta=109.93 gamma=74.06
Atoms (fractional coordinates):
Cu 0.004 0.996 0.750
Cu 0.996 0.004 0.250
P 0.500 0.500 0.000
P 0.500 0.500 0.500
O 0.209 0.777 0.505
O 0.223 0.791 0.995
O 0.249 0.287 0.883
O 0.287 0.249 0.383
O 0.484 0.516 0.250
O 0.516 0.484 0.750
O 0.713 0.751 0.617
O 0.751 0.713 0.117
O 0.777 0.209 0.005
O 0.791 0.223 0.495

Total moment   8.00 Bohr magnetons per cell
Formation energy from raw total energies   -0.670 eV/atom
Polymorph energy (0 for the lowest one)   395 meV/atom


Compound: CuPO2
Source: Alexandria via LeMat-Bulk
Functional: PBE
Structure: relaxed

Unit cell a=3.059 b=3.059 c=17.603 alpha=90.00 beta=90.00 gamma=120.00
Atoms (fractional coordinates):
Cu 0.000 0.000 0.000
Cu 0.333 0.667 0.667
Cu 0.667 0.333 0.333
P 0.000 0.000 0.500
P 0.333 0.667 0.167
P 0.667 0.333 0.833
O 0.000 0.000 0.105
O 0.000 0.000 0.895
O 0.333 0.667 0.562
O 0.333 0.667 0.772
O 0.667 0.333 0.228
O 0.667 0.333 0.438

Total moment   0.00 Bohr magnetons per cell
Formation energy from raw total energies   -0.409 eV/atom


Compound: Cu3PO6
Source: Alexandria via LeMat-Bulk
Functional: PBE
Structure: relaxed

Unit cell a=5.819 b=5.819 c=5.819 alpha=89.88 beta=89.88 gamma=89.88
Atoms (fractional coordinates):
Cu 0.056 0.745 0.589
Cu 0.255 0.411 0.944
Cu 0.411 0.944 0.255
Cu 0.589 0.056 0.745
Cu 0.745 0.589 0.056
Cu 0.944 0.255 0.411
P 0.000 0.000 0.000
P 0.500 0.500 0.500
O 0.038 0.713 0.940
O 0.060 0.962 0.287
O 0.213 0.452 0.549
O 0.287 0.060 0.962
O 0.451 0.787 0.548
O 0.452 0.549 0.213
O 0.548 0.451 0.787
O 0.549 0.213 0.452
O 0.713 0.940 0.038
O 0.787 0.548 0.451
O 0.940 0.038 0.713
O 0.962 0.287 0.060

Total moment   0.00 Bohr magnetons per cell
Formation energy from raw total energies   -0.928 eV/atom
Polymorph energy (0 for the lowest one)   128 meV/atom


Compound: CuP3O
Source: Alexandria via LeMat-Bulk
Functional: PBE
Structure: relaxed

Unit cell a=4.130 b=4.130 c=4.130 alpha=90.00 beta=90.00 gamma=90.00
Atoms (fractional coordinates):
Cu 0.000 0.000 0.000
P 0.000 0.500 0.500
P 0.500 0.000 0.500
P 0.500 0.500 0.000
O 0.500 0.500 0.500

Total moment   0.00 Bohr magnetons per cell
Formation energy from raw total energies   0.716 eV/atom
Polymorph energy (0 for the lowest one)   0 meV/atom


Compound: CuPO3
Source: Alexandria via LeMat-Bulk
Functional: PBE
Structure: relaxed

Unit cell a=3.683 b=3.683 c=3.683 alpha=90.00 beta=90.00 gamma=90.00
Atoms (fractional coordinates):
Cu 0.000 0.000 0.000
P 0.500 0.500 0.500
O 0.000 0.000 0.500
O 0.000 0.500 0.000
O 0.500 0.000 0.000

Total moment   0.00 Bohr magnetons per cell
Formation energy from raw total energies   0.270 eV/atom


Compound: CuPO3
Source: Alexandria via LeMat-Bulk
Functional: PBE
Structure: relaxed

Unit cell a=5.629 b=10.254 c=5.186 alpha=90.00 beta=97.41 gamma=90.00
Atoms (fractional coordinates):
Cu 0.070 0.056 0.276
Cu 0.070 0.444 0.776
Cu 0.930 0.556 0.224
Cu 0.930 0.944 0.724
P 0.329 0.711 0.742
P 0.329 0.789 0.242
P 0.671 0.211 0.758
P 0.671 0.289 0.258
O 0.110 0.705 0.205
O 0.110 0.795 0.705
O 0.305 0.565 0.736
O 0.305 0.935 0.236
O 0.495 0.749 0.514
O 0.495 0.751 0.014
O 0.505 0.249 0.986
O 0.505 0.251 0.486
O 0.695 0.065 0.764
O 0.695 0.435 0.264
O 0.890 0.205 0.295
O 0.890 0.295 0.795

Total moment   0.00 Bohr magnetons per cell
Formation energy from raw total energies   -1.498 eV/atom


Compound: CuPO3
Source: Alexandria via LeMat-Bulk
Functional: PBE
Structure: relaxed

Unit cell a=9.983 b=9.983 c=9.983 alpha=116.31 beta=116.31 gamma=116.31
Atoms (fractional coordinates):
Cu 0.043 0.611 0.408
Cu 0.389 0.592 0.957
Cu 0.408 0.043 0.611
Cu 0.592 0.957 0.389
Cu 0.611 0.408 0.043
Cu 0.957 0.389 0.592
P 0.034 0.139 0.791
P 0.139 0.791 0.034
P 0.209 0.966 0.861
P 0.791 0.034 0.139
P 0.861 0.209 0.966
P 0.966 0.861 0.209
O 0.026 0.225 0.964
O 0.032 0.468 0.199
O 0.036 0.974 0.775
O 0.064 0.721 0.633
O 0.199 0.032 0.468
O 0.225 0.964 0.026
O 0.279 0.367 0.936
O 0.367 0.936 0.279
O 0.468 0.199 0.032
O 0.532 0.801 0.968
O 0.633 0.064 0.721
O 0.721 0.633 0.064
O 0.775 0.036 0.974
O 0.801 0.968 0.532
O 0.936 0.279 0.367
O 0.964 0.026 0.225
O 0.968 0.532 0.801
O 0.974 0.775 0.036

Total moment   0.00 Bohr magnetons per cell
Formation energy from raw total energies   -1.572 eV/atom